1.
VASP calculation (GGA-PBE) on crystalline UBr4Cl4 at its relaxed geometry.

## Properties
- raw formation energy (eV/atom) = -0.763

Cell and atoms, written as extended XYZ:
```
18
Lattice="9.2614 0.0000 0.0000 0.0000 8.5206 0.0000 -9.2435 0.0000 9.2620" Properties=species:S:1:pos:R:3 pbc="T T T"
U -2.3109 2.1300 2.3155
U -6.9326 6.3906 6.9465
Br 0.3308 1.6944 2.3081
Br -4.2909 6.8262 6.9392
Br -2.3029 2.5651 4.9574
Br 2.3188 5.9554 0.3263
Br -2.3010 2.5651 8.9357
Br 2.3208 5.9554 4.3047
Br 4.3088 1.6944 2.3229
Br -0.3129 6.8262 6.9539
Cl -6.9293 0.2513 8.2437
Cl -5.6353 4.0094 6.9419
Cl -1.0135 4.5112 2.3109
Cl -2.3076 8.2693 3.6127
Cl 2.3255 0.2513 5.6494
Cl 1.0314 4.0094 6.9512
Cl 5.6531 4.5112 2.3202
Cl 6.9472 8.2693 1.0184
```

2.
VASP calculation (GGA-PBE) on crystalline VBrCl2 at its relaxed geometry.

## Properties
- offset from the most stable computed form (meV/atom) = 247
- raw formation energy (eV/atom) = -0.758

Cell and atoms, written as extended XYZ:
```
8
Lattice="-4.2784 4.2784 2.6306 4.2784 -4.2784 2.6306 4.2784 4.2784 -2.6306" Properties=species:S:1:pos:R:3 pbc="T T T"
V 0.0000 0.0000 0.0000
V 0.0000 4.2784 1.3153
Br 4.2784 0.0000 1.3153
Br 0.0000 0.0000 2.6306
Cl 0.9179 2.1392 0.6577
Cl -2.1392 3.3606 1.9730
Cl -0.9179 6.4177 0.6577
Cl 2.1392 5.1963 1.9730
```

3.
VASP calculation (GGA-PBE) on crystalline VBr2Cl2 at its relaxed geometry.

## Properties
- raw formation energy (eV/atom) = 0.008

Cell and atoms, written as extended XYZ:
```
5
Lattice="-1.7723 1.7723 11.0594 1.7723 -1.7723 11.0594 1.7723 1.7723 -11.0594" Properties=species:S:1:pos:R:3 pbc="T T T"
V 0.0000 0.0000 0.0000
Br 0.0000 0.0000 9.4829
Br 0.0000 0.0000 12.6360
Cl 1.7723 0.0000 5.5297
Cl 0.0000 1.7723 5.5297
```

4.
VASP calculation (GGA-PBE) on crystalline VBr2Cl2 at its relaxed geometry.

## Properties
- raw formation energy (eV/atom) = -0.219

Cell and atoms, written as extended XYZ:
```
10
Lattice="6.8769 0.0000 0.0000 0.0000 6.8769 0.0000 0.0000 0.0000 7.6611" Properties=species:S:1:pos:R:3 pbc="T T T"
V 0.0000 0.0000 0.0000
V 3.4385 3.4385 0.0000
Br 1.2434 2.1951 0.0000
Br 2.1951 5.6335 0.0000
Br 4.6819 1.2434 0.0000
Br 5.6335 4.6819 0.0000
Cl 0.7023 4.1407 3.8305
Cl 2.7362 0.7023 3.8305
Cl 4.1407 6.1746 3.8305
Cl 6.1746 2.7362 3.8305
```

5.
VASP calculation (GGA-PBE) on crystalline VBrCl at its relaxed geometry.

## Properties
- offset from the most stable computed form (meV/atom) = 0
- raw formation energy (eV/atom) = -0.964

Cell and atoms, written as extended XYZ:
```
12
Lattice="6.9606 0.0000 0.0000 0.0000 7.4740 0.0000 -2.1995 0.0000 6.0922" Properties=species:S:1:pos:R:3 pbc="T T T"
V -0.5452 0.9352 1.5592
V -1.6450 2.8018 4.6053
V 6.4060 4.6722 1.4869
V 5.3063 6.5388 4.5330
Br 1.5973 0.9018 0.0175
Br 0.4975 2.8352 3.0636
Br 4.2635 4.6388 3.0286
Br 3.1638 6.5722 6.0747
Cl -0.8150 4.6975 6.0035
Cl 0.2847 6.5135 2.9574
Cl 4.4763 0.9605 3.1348
Cl 5.5761 2.7765 0.0887
```

6.
VASP calculation (GGA-PBE) on crystalline VBrCl2 at its relaxed geometry.

## Properties
- offset from the most stable computed form (meV/atom) = 895
- raw formation energy (eV/atom) = -0.110

Cell and atoms, written as extended XYZ:
```
4
Lattice="1.6303 0.9412 11.7254 -1.6303 0.9412 11.7254 0.0000 -1.8825 11.7254" Properties=species:S:1:pos:R:3 pbc="T T T"
V 0.0000 0.0000 0.0000
Br 0.0000 0.0000 17.5881
Cl 0.0000 0.0000 2.1271
Cl 0.0000 0.0000 33.0492
```

7.
VASP calculation (GGA-PBE) on crystalline VBr3Cl at its relaxed geometry.

## Properties
- offset from the most stable computed form (meV/atom) = 0
- raw formation energy (eV/atom) = -0.875

Cell and atoms, written as extended XYZ:
```
10
Lattice="8.3053 0.0000 0.0000 0.0000 7.1463 0.0000 0.0000 0.0000 7.0627" Properties=species:S:1:pos:R:3 pbc="T T T"
V 0.0000 1.2554 0.0000
V 4.1526 5.8909 3.5313
Br 0.0000 1.4211 2.2905
Br 1.8726 2.2959 6.2351
Br 2.2800 4.8504 2.7038
Br 4.1526 5.7252 5.8218
Br 6.0253 4.8504 2.7038
Br 6.4326 2.2959 6.2351
Cl 0.0000 6.3360 6.4754
Cl 4.1526 0.8103 2.9440
```

8.
VASP calculation (GGA-PBE) on crystalline VBrCl at its relaxed geometry.

## Properties
- offset from the most stable computed form (meV/atom) = 286
- raw formation energy (eV/atom) = -0.678

Cell and atoms, written as extended XYZ:
```
12
Lattice="6.5158 0.0000 0.0000 0.0000 6.2799 0.0000 -3.1305 0.0000 6.0437" Properties=species:S:1:pos:R:3 pbc="T T T"
V 1.3101 0.0404 0.0534
V -0.2552 3.0995 3.0752
V 3.6404 3.1804 2.9685
V 2.0752 6.2394 5.9903
Br -1.6319 4.0331 4.9106
Br -0.0666 5.3867 1.8887
Br 3.4518 0.8931 4.1549
Br 5.0171 2.2468 1.1331
Cl 0.0762 1.0087 4.7512
Cl 1.6414 2.1312 1.7293
Cl 1.7438 4.1486 4.3143
Cl 3.3091 5.2712 1.2925
```

9.
VASP calculation (GGA-PBE) on crystalline V2BrCl3 at its relaxed geometry.

## Properties
- raw formation energy (eV/atom) = -1.046

Cell and atoms, written as extended XYZ:
```
12
Lattice="8.2444 -1.8484 0.0000 8.2444 1.8484 0.0000 -7.9152 0.0000 10.0347" Properties=species:S:1:pos:R:3 pbc="T T T"
V 3.0938 0.0000 1.2027
V -0.7691 0.0000 6.2871
V 9.3427 0.0000 3.7476
V 5.4797 0.0000 8.8320
Br 0.5630 0.0000 1.9577
Br 8.0105 0.0000 8.0771
Cl -3.0969 0.0000 7.1785
Cl 1.5502 0.0000 5.3610
Cl 5.4678 0.0000 0.4532
Cl 3.1057 0.0000 9.5815
Cl 7.0233 0.0000 4.6738
Cl 11.6704 0.0000 2.8562
```

10.
VASP calculation (GGA-PBE) on crystalline VBr3Cl at its relaxed geometry.

## Properties
- offset from the most stable computed form (meV/atom) = 64
- raw formation energy (eV/atom) = -0.811

Cell and atoms, written as extended XYZ:
```
10
Lattice="3.7189 0.0000 0.0000 0.0000 10.4848 0.0000 -1.8421 0.0000 8.2778" Properties=species:S:1:pos:R:3 pbc="T T T"
V -0.0038 2.6212 1.9774
V 1.8807 7.8636 6.3004
Br -0.0002 7.8636 0.3969
Br 0.0192 6.0967 6.2995
Br 0.0192 9.6305 6.2995
Br 1.8576 0.8543 1.9783
Br 1.8576 4.3881 1.9783
Br 1.8770 2.6212 7.8809
Cl 0.0004 2.6212 4.1835
Cl 1.8765 7.8636 4.0943
```

11.
VASP calculation (GGA-PBE) on crystalline VBrCl at its relaxed geometry.

## Properties
- offset from the most stable computed form (meV/atom) = 7
- raw formation energy (eV/atom) = -0.958

Cell and atoms, written as extended XYZ:
```
3
Lattice="3.7429 0.0000 0.0000 -1.8714 3.2414 0.0000 0.0000 0.0000 6.4498" Properties=species:S:1:pos:R:3 pbc="T T T"
V 0.0000 0.0000 0.0000
Br 0.0000 2.1609 4.9579
Cl 1.8714 1.0805 1.2865
```

12.
VASP calculation (GGA-PBE) on crystalline VBrCl at its relaxed geometry.

## Properties
- offset from the most stable computed form (meV/atom) = 1
- raw formation energy (eV/atom) = -0.964

Cell and atoms, written as extended XYZ:
```
6
Lattice="6.6503 -1.8689 0.0000 6.6503 1.8689 0.0000 -0.7534 0.0000 6.4251" Properties=species:S:1:pos:R:3 pbc="T T T"
V 0.0000 0.0000 0.0000
V 6.2736 0.0000 3.2126
Br 1.2510 0.0000 2.3260
Br 11.2962 0.0000 4.0991
Cl 5.2629 0.0000 0.9318
Cl 7.2843 0.0000 5.4934
```

13.
VASP calculation (GGA-PBE) on crystalline VBrCl4 at its relaxed geometry.

## Properties
- raw formation energy (eV/atom) = -0.824

Cell and atoms, written as extended XYZ:
```
6
Lattice="-4.2312 4.2312 2.6835 4.2312 -4.2312 2.6835 4.2312 4.2312 -2.6835" Properties=species:S:1:pos:R:3 pbc="T T T"
V 0.0000 0.0000 0.0000
Br 4.2312 0.0000 1.3417
Cl 3.6241 2.5939 -1.5069
Cl 0.6071 1.6372 1.1765
Cl 1.6372 -0.6071 4.1904
Cl 2.5939 4.8383 1.5069
```

14.
VASP calculation (GGA-PBE) on crystalline VBr3Cl at its relaxed geometry.

## Properties
- offset from the most stable computed form (meV/atom) = 579
- raw formation energy (eV/atom) = -0.297

Cell and atoms, written as extended XYZ:
```
5
Lattice="5.0335 0.0000 0.0000 0.0000 5.0335 0.0000 0.0000 0.0000 5.0335" Properties=species:S:1:pos:R:3 pbc="T T T"
V 0.0000 0.0000 0.0000
Br 0.0000 0.0000 2.5168
Br 0.0000 2.5168 0.0000
Br 2.5168 0.0000 0.0000
Cl 2.5168 2.5168 2.5168
```

15.
VASP calculation (GGA-PBE) on crystalline VBr3Cl at its relaxed geometry.

## Properties
- offset from the most stable computed form (meV/atom) = 1591
- raw formation energy (eV/atom) = 0.715

Cell and atoms, written as extended XYZ:
```
5
Lattice="5.3475 0.0000 0.0000 0.0000 5.3475 0.0000 0.0000 0.0000 5.3475" Properties=species:S:1:pos:R:3 pbc="T T T"
V 0.0000 0.0000 0.0000
Br 0.0000 2.6738 2.6738
Br 2.6738 0.0000 2.6738
Br 2.6738 2.6738 0.0000
Cl 2.6738 2.6738 2.6738
```

16.
VASP calculation (GGA-PBE) on crystalline VBrCl2 at its relaxed geometry.

## Properties
- offset from the most stable computed form (meV/atom) = 0
- raw formation energy (eV/atom) = -1.005

Cell and atoms, written as extended XYZ:
```
4
Lattice="3.5489 0.0000 0.0000 -0.0002 5.0470 0.0000 -1.7642 -0.1830 6.7428" Properties=species:S:1:pos:R:3 pbc="T T T"
V 0.0000 0.0000 0.0000
Br -0.0001 2.5235 0.0000
Cl 0.0101 4.8645 5.1260
Cl 1.7744 -0.0005 1.6168
```

17.
VASP calculation (GGA-PBE) on crystalline V3BrCl12 at its relaxed geometry.

## Properties
- raw formation energy (eV/atom) = -1.029

Cell and atoms, written as extended XYZ:
```
32
Lattice="5.7682 3.3303 12.2931 -5.7682 3.3303 12.2931 0.0000 -6.6605 12.2931" Properties=species:S:1:pos:R:3 pbc="T T T"
V -1.7228 -3.1191 12.2931
V -3.9284 -0.2787 18.4396
V -1.8398 3.0516 12.2931
V 2.2056 -3.2627 18.4396
V 3.5626 0.0675 12.2931
V 1.7228 3.5414 18.4396
Br 0.0000 0.0000 15.9245
Br 0.0000 0.0000 34.3641
Cl -3.9980 -1.3895 16.6120
Cl -2.1516 1.1854 6.3979
Cl 0.0492 -2.4561 6.3979
Cl -0.7957 -2.5035 10.4655
Cl -3.7153 -1.5952 20.0927
Cl -0.4761 -2.6454 13.9461
Cl -1.7702 1.9408 10.4655
Cl -3.5285 -2.3232 24.4680
Cl -2.0529 1.7350 13.9461
Cl -2.2397 1.0070 18.3214
Cl 0.2477 -2.4432 18.3214
Cl 2.1024 1.2707 6.3979
Cl 2.5659 0.5627 10.4655
Cl -0.0492 -2.4561 24.8376
Cl -2.1024 1.2707 24.8376
Cl 3.2023 -2.7676 16.6120
Cl 2.5291 0.9104 13.9461
Cl 3.2391 -2.4199 20.0926
Cl 0.7957 4.1571 16.6120
Cl 1.9920 1.4361 18.3214
Cl 0.4761 4.0151 20.0926
Cl -0.2477 4.2174 24.4680
Cl 3.7762 -1.8941 24.4680
Cl 2.1516 1.1854 24.8376
```

18.
VASP calculation (GGA-PBE) on crystalline V2BrCl at its relaxed geometry.

## Properties
- raw formation energy (eV/atom) = 0.382

Cell and atoms, written as extended XYZ:
```
4
Lattice="0.0000 3.1594 3.1594 3.1594 0.0000 3.1594 3.1594 3.1594 0.0000" Properties=species:S:1:pos:R:3 pbc="T T T"
V 1.5797 1.5797 1.5797
V 4.7391 4.7391 4.7391
Br 0.0000 0.0000 0.0000
Cl 3.1594 3.1594 3.1594
```

19.
VASP calculation (GGA-PBE) on crystalline W2BrCl8 at its relaxed geometry.

## Properties
- raw formation energy (eV/atom) = -0.704

Cell and atoms, written as extended XYZ:
```
11
Lattice="6.8549 -3.9373 0.0000 6.8549 3.9373 0.0000 -3.6814 0.0000 8.9065" Properties=species:S:1:pos:R:3 pbc="T T T"
W 0.3323 0.0000 2.6314
W 9.6961 0.0000 6.2751
Br 0.0000 0.0000 0.0000
Cl 0.6003 0.0000 4.9049
Cl 3.9666 1.9897 6.2367
Cl 2.5512 0.0000 2.2600
Cl 6.0617 1.9897 2.6698
Cl 3.9666 -1.9897 6.2367
Cl 7.4772 0.0000 6.6465
Cl 6.0617 -1.9897 2.6698
Cl 9.4280 0.0000 4.0016
```

20.
VASP calculation (GGA-PBE) on crystalline W3BrCl7 at its relaxed geometry.

## Properties
- raw formation energy (eV/atom) = -0.536

Cell and atoms, written as extended XYZ:
```
11
Lattice="5.8166 -3.3553 0.0000 5.8166 3.3553 0.0000 -5.7933 0.0000 7.1611" Properties=species:S:1:pos:R:3 pbc="T T T"
W 0.0000 0.0000 0.0000
W 2.4221 -1.9711 7.1600
W 2.4221 1.9711 7.1600
Br 7.4407 0.0000 5.1603
Cl -1.2796 1.6666 5.8518
Cl 3.4832 0.0000 1.6442
Cl 6.4663 1.7118 1.6347
Cl -1.2796 -1.6666 5.8518
Cl 1.6150 0.0000 5.8501
Cl 9.3552 0.0000 1.2821
Cl 6.4663 -1.7118 1.6347
```

no.,total moment (μB per atom)
1,0.2222
2,0.5000
3,0.5857
4,0.6065
5,1.0000
6,0.2788
7,0.2000
8,0.3318
9,1.0000
10,0.2000
11,1.0000
12,1.0000
13,0.0066
14,0.1990
15,0.8016
16,0.5000
17,0.1250
18,1.0426
19,0.2727
20,0.1901